Record 1
# PmMg8Rh4

An optimized crystal structure of PmMg8Rh4 (PBE, Alexandria).

Lattice parameters (Å, degrees): 5.777 7.115 7.115 80.51 66.05 66.05
Sites, in units of the cell vectors:
Mg 0.332 0.668 0.668
Rh 0.000 0.500 0.000
Mg 0.277 0.223 0.223
Mg 0.723 0.777 0.777
Pm 0.000 0.000 0.000
Mg 0.000 0.332 0.668
Rh 0.500 0.000 0.500
Rh 0.500 0.500 0.000
Mg 0.500 0.223 0.777
Mg 0.000 0.668 0.332
Mg 0.500 0.777 0.223
Rh 0.000 0.000 0.500
Mg 0.668 0.332 0.332

Calculated values
The total energy is -51.86 eV/cell. For the formation energy, the calculation gives -380 meV per atom. The value obtained for the magnetic moment is 0.00 μB per cell. The calculation puts the density of states at the Fermi level at 7.6 states/eV/f.u.

=====

Record 2
# Pm7Mg2Rh2

An optimized crystal structure of Pm7Mg2Rh2 (PBE, Alexandria).

Lattice parameters (Å, degrees): 6.977 7.435 6.977 90.00 108.31 90.00
Sites, in units of the cell vectors:
Pm 0.000 0.751 0.500
Rh 0.288 0.000 0.712
Pm 0.500 0.751 0.000
Pm 0.500 0.239 0.500
Rh 0.712 0.000 0.288
Pm 0.500 0.761 0.500
Mg 0.173 0.500 0.173
Pm 0.000 0.000 0.000
Pm 0.000 0.249 0.500
Mg 0.827 0.500 0.827
Pm 0.500 0.249 0.000

Calculated values
The total energy is -53.38 eV/cell. For the formation energy, the calculation gives -203 meV per atom. The value obtained for the magnetic moment is 0.00 μB per cell. The calculation puts the density of states at the Fermi level at 12.9 states/eV/f.u. The value obtained for the offset from the most stable computed form is 1.16 kcal/mol of atoms.

=====

Record 3
# Pm3Mg7Rh4

An optimized crystal structure of Pm3Mg7Rh4 (PBE, Alexandria).

Lattice parameters (Å, degrees): 4.229 8.347 9.222 73.49 76.74 75.33
Sites, in units of the cell vectors:
Pm 0.301 0.181 0.218
Mg 0.000 0.000 0.000
Rh 0.334 0.572 0.760
Mg 0.831 0.409 0.929
Rh 0.666 0.428 0.240
Mg 0.513 0.762 0.211
Rh 0.892 0.906 0.310
Mg 0.321 0.849 0.510
Mg 0.169 0.591 0.071
Rh 0.108 0.094 0.690
Mg 0.487 0.238 0.789
Mg 0.679 0.151 0.490
Pm 0.000 0.500 0.500
Pm 0.699 0.819 0.782

Calculated values
The total energy is -61.28 eV/cell. For the formation energy, the calculation gives -462 meV per atom. The value obtained for the magnetic moment is 0.00 μB per cell. The calculation puts the density of states at the Fermi level at 6.8 states/eV/f.u.

=====

What is the formula in the second record?
Pm7Mg2Rh2

=====

What did the second record say?
# Pm7Mg2Rh2

An optimized crystal structure of Pm7Mg2Rh2 (PBE, Alexandria).

Lattice parameters (Å, degrees): 6.977 7.435 6.977 90.00 108.31 90.00
Sites, in units of the cell vectors:
Pm 0.000 0.751 0.500
Rh 0.288 0.000 0.712
Pm 0.500 0.751 0.000
Pm 0.500 0.239 0.500
Rh 0.712 0.000 0.288
Pm 0.500 0.761 0.500
Mg 0.173 0.500 0.173
Pm 0.000 0.000 0.000
Pm 0.000 0.249 0.500
Mg 0.827 0.500 0.827
Pm 0.500 0.249 0.000

Calculated values
The total energy is -53.38 eV/cell. For the formation energy, the calculation gives -203 meV per atom. The value obtained for the magnetic moment is 0.00 μB per cell. The calculation puts the density of states at the Fermi level at 12.9 states/eV/f.u. The value obtained for the offset from the most stable computed form is 1.16 kcal/mol of atoms.